Entry 1:
A relaxed structure of NaTeAsSe, computed with GGA-PBE.

Formation energy without anion corrections = -0.43 eV/atom
Crystal system = trigonal

Lattice parameters (Å, degrees): 4.0754 4.0754 7.3834 89.99 89.99 59.99
Closest atoms and distances in Å follow each position.
Atoms (fractional coordinates):
Na (0.8681, 0.8681, 0.3377)  3 Se 3.02, 3 Te 3.31
Te (0.2014, 0.2014, 0.0218)  3 As 2.88
As (0.8680, 0.8680, 0.7961)  3 Se 2.79, 3 Te 2.88
Se (0.5347, 0.5347, 0.5934)  3 As 2.79, 3 Na 3.02

Entry 2:
A relaxed structure of Ba2GaPtN, computed with GGA-PBE.

Formation energy without anion corrections = -0.43 eV/atom
Density of states at the Fermi level = 4.1 states/eV per cell
Crystal system = tetragonal
Polymorph energy (0 for the lowest one) = 199.2 meV per atom

Lattice parameters (Å, degrees): 5.9453 5.9453 3.8281 90.00 90.00 90.00
Closest atoms and distances in Å follow each position.
Atoms (fractional coordinates):
Ga (0.5000, 0.5000, 0.5000)  8 Ba 3.54, 2 Ga 3.83
Ba (0.0000, 0.5000, 0.0000)  2 N 2.97
Ba (0.5000, 0.0000, 0.0000)  2 N 2.97
Pt (0.0000, 0.0000, 0.5000)  2 N 1.91
N (0.0000, 0.0000, 0.0000)  2 Pt 1.91

Entry 3:
A relaxed structure of Nd2HoSn, computed with GGA-PBE.

Density of states at the Fermi level = 6.6 states/eV per cell
Formation enthalpy at 0 K = -1.05 eV/f.u.
Crystal system = cubic
Polymorph energy (0 for the lowest one) = 170.2 meV per atom

Lattice parameters (Å, degrees): 5.5263 5.5263 5.5263 60.00 60.00 60.00
Closest atoms and distances in Å follow each position.
Atoms (fractional coordinates):
Nd (0.2500, 0.2500, 0.2500)  4 Sn 3.38, 4 Ho 3.38
Nd (0.7500, 0.7500, 0.7500)  4 Sn 3.38, 4 Ho 3.38
Ho (0.5000, 0.5000, 0.5000)  8 Nd 3.38
Sn (0.0000, 0.0000, 0.0000)  8 Nd 3.38